# 1
Compound: BaSc2Pb
Source: Alexandria via LeMat-Bulk
Functional: PBE
Structure: relaxed

Calculated total energy in eV for the cell shown: -17.92
Symmetry: I4/mmm (139)
Total magnetic moment in μB per formula unit: 1.56

Cell: 5.9300 5.9300 5.9300 Å, 130.23 130.23 73.04°
Last column: magnetic moment on the atom in μB.
Fractional positions:
1 Ba 0.2500 0.7500 0.5000  0.12
2 Pb 0.7500 0.2500 0.5000  -0.02
3 Sc 0.0000 0.0000 0.0000  0.42
4 Sc 0.5000 0.5000 0.0000  0.42

# 2
Compound: NaGaHg2
Source: Alexandria via LeMat-Bulk
Functional: PBE
Structure: relaxed

Calculated total energy in eV for the cell shown: -4.80
Symmetry: Immm (71)
Total magnetic moment in μB per formula unit: 0.00

Cell: 6.8598 6.8598 6.8598 Å, 57.27 153.68 130.12°
Fractional positions:
1 Na 0.0000 0.0000 0.0000
2 Ga 0.0000 0.5000 0.5000
3 Hg 0.0000 0.2664 0.2664
4 Hg 0.0000 0.7336 0.7336

# 3
Compound: KCaAc
Source: Alexandria via LeMat-Bulk
Functional: PBE
Structure: relaxed

Calculated total energy in eV for the cell shown: -6.76
Symmetry: P3m1 (156)
Total magnetic moment in μB per formula unit: 0.00

Cell: 4.0175 4.0175 10.5564 Å, 90.00 90.00 120.00°
Fractional positions:
1 K 0.0000 0.0000 0.0020
2 Ac 0.3333 0.6667 0.6464
3 Ca 0.6667 0.3333 0.3516

# 4
Compound: TbThCu
Source: Alexandria via LeMat-Bulk
Functional: PBE
Structure: relaxed

Calculated total energy in eV for the cell shown: -32.80
Symmetry: Fmmm (69)
Total magnetic moment in μB per formula unit: 0.00

Cell: 5.8048 5.8048 5.9406 Å, 104.15 104.15 119.99°
Fractional positions:
1 Th 0.6649 0.3351 0.0000
2 Th 0.3351 0.6649 0.0000
3 Tb 0.8374 0.8374 0.6748
4 Tb 0.1626 0.1626 0.3252
5 Cu 0.7500 0.2500 0.5000
6 Cu 0.2500 0.7500 0.5000

# 5
Compound: CsAsO2
Source: Alexandria via LeMat-Bulk
Functional: PBE
Structure: relaxed

Symmetry: P2/c (13)
Total magnetic moment in μB per formula unit: 0.00
Formation energy without anion corrections in eV per atom: -1.394

Cell: 8.1959 8.9460 15.1017 Å, 152.64 90.00 90.00°
Fractional positions:
1 Cs 0.6443 0.2566 0.2540
2 Cs 0.3557 0.7434 0.7460
3 Cs 0.6443 0.7434 0.2460
4 Cs 0.3557 0.2566 0.7540
5 As 0.8348 0.2585 0.7509
6 As 0.1652 0.7415 0.2491
7 As 0.8348 0.7415 0.7491
8 As 0.1652 0.2585 0.2509
9 O 0.2854 0.9545 0.0512
10 O 0.7146 0.0455 0.9488
11 O 0.2854 0.0455 0.4488
12 O 0.7146 0.9545 0.5512
13 O 0.2857 0.4466 0.0496
14 O 0.7143 0.5534 0.9504
15 O 0.2857 0.5534 0.4504
16 O 0.7143 0.4466 0.5496

Please write out number 3 again, unchanged.
Compound: KCaAc
Source: Alexandria via LeMat-Bulk
Functional: PBE
Structure: relaxed

Calculated total energy in eV for the cell shown: -6.76
Symmetry: P3m1 (156)
Total magnetic moment in μB per formula unit: 0.00

Cell: 4.0175 4.0175 10.5564 Å, 90.00 90.00 120.00°
Fractional positions:
1 K 0.0000 0.0000 0.0020
2 Ac 0.3333 0.6667 0.6464
3 Ca 0.6667 0.3333 0.3516